Entry 1:
# Ta2AgTe | the Open Quantum Materials Database | PBE | optimized geometry
data_Ta2AgTe
_symmetry_space_group_name_H-M 'P 1'
_symmetry_Int_Tables_number 1
_cell_length_a 6.788
_cell_length_b 6.788
_cell_length_c 6.788
_cell_angle_alpha 90.00
_cell_angle_beta 90.00
_cell_angle_gamma 90.00
loop_
_symmetry_equiv_pos_as_xyz
'x,y,z'
loop_
_atom_site_label
_atom_site_type_symbol
_atom_site_fract_x
_atom_site_fract_y
_atom_site_fract_z
_atom_site_occupancy
Ta1 Ta 0.000 0.000 0.000 1
Ta2 Ta 0.000 0.500 0.500 1
Ta3 Ta 0.250 0.250 0.250 1
Ta4 Ta 0.250 0.750 0.750 1
Ta5 Ta 0.500 0.000 0.500 1
Ta6 Ta 0.500 0.500 0.000 1
Ta7 Ta 0.750 0.250 0.750 1
Ta8 Ta 0.750 0.750 0.250 1
Ag1 Ag 0.250 0.250 0.750 1
Ag2 Ag 0.250 0.750 0.250 1
Ag3 Ag 0.750 0.250 0.250 1
Ag4 Ag 0.750 0.750 0.750 1
Te1 Te 0.000 0.000 0.500 1
Te2 Te 0.000 0.500 0.000 1
Te3 Te 0.500 0.000 0.000 1
Te4 Te 0.500 0.500 0.500 1
# Calculated volume = 19.5 Å³ per atom
# Final energy = -6.73 eV/atom


Entry 2:
# Ta3AgTe5 | the Open Quantum Materials Database | PBE | optimized geometry
data_Ta3AgTe5
_symmetry_space_group_name_H-M 'P 1'
_symmetry_Int_Tables_number 1
_cell_length_a 5.902
_cell_length_b 5.902
_cell_length_c 8.325
_cell_angle_alpha 90.00
_cell_angle_beta 90.00
_cell_angle_gamma 120.00
loop_
_symmetry_equiv_pos_as_xyz
'x,y,z'
loop_
_atom_site_label
_atom_site_type_symbol
_atom_site_fract_x
_atom_site_fract_y
_atom_site_fract_z
_atom_site_occupancy
Ta1 Ta 0.000 0.500 0.000 1
Ta2 Ta 0.500 0.000 0.000 1
Ta3 Ta 0.500 0.500 0.000 1
Ag1 Ag 0.000 0.000 0.500 1
Te1 Te 0.000 0.000 0.000 1
Te2 Te 0.333 0.667 0.274 1
Te3 Te 0.333 0.667 0.726 1
Te4 Te 0.667 0.333 0.274 1
Te5 Te 0.667 0.333 0.726 1
# Calculated volume = 27.9 Å³ per atom
# Final energy = -6.03 eV/atom


Entry 3:
# TaTlAgTe3 | the Open Quantum Materials Database | PBE | optimized geometry
data_TaTlAgTe3
_symmetry_space_group_name_H-M 'P 1'
_symmetry_Int_Tables_number 1
_cell_length_a 8.124
_cell_length_b 8.124
_cell_length_c 10.867
_cell_angle_alpha 90.00
_cell_angle_beta 90.00
_cell_angle_gamma 152.05
loop_
_symmetry_equiv_pos_as_xyz
'x,y,z'
loop_
_atom_site_label
_atom_site_type_symbol
_atom_site_fract_x
_atom_site_fract_y
_atom_site_fract_z
_atom_site_occupancy
Ta1 Ta 0.000 0.000 0.000 1
Ta2 Ta 0.000 0.000 0.500 1
Tl1 Tl 0.238 0.762 0.750 1
Tl2 Tl 0.762 0.238 0.250 1
Ag1 Ag 0.451 0.549 0.250 1
Ag2 Ag 0.549 0.451 0.750 1
Te1 Te 0.076 0.924 0.250 1
Te2 Te 0.370 0.630 0.029 1
Te3 Te 0.370 0.630 0.471 1
Te4 Te 0.630 0.370 0.529 1
Te5 Te 0.630 0.370 0.971 1
Te6 Te 0.924 0.076 0.750 1
# Calculated volume = 28.0 Å³ per atom
# Final energy = -4.54 eV/atom


Entry 4:
# TaTlAg2 | the Open Quantum Materials Database | PBE | optimized geometry
data_TaTlAg2
_symmetry_space_group_name_H-M 'P 1'
_symmetry_Int_Tables_number 1
_cell_length_a 6.741
_cell_length_b 6.741
_cell_length_c 6.741
_cell_angle_alpha 90.00
_cell_angle_beta 90.00
_cell_angle_gamma 90.00
loop_
_symmetry_equiv_pos_as_xyz
'x,y,z'
loop_
_atom_site_label
_atom_site_type_symbol
_atom_site_fract_x
_atom_site_fract_y
_atom_site_fract_z
_atom_site_occupancy
Ta1 Ta 0.000 0.000 0.000 1
Ta2 Ta 0.000 0.500 0.500 1
Ta3 Ta 0.500 0.000 0.500 1
Ta4 Ta 0.500 0.500 0.000 1
Tl1 Tl 0.250 0.250 0.750 1
Tl2 Tl 0.250 0.750 0.250 1
Tl3 Tl 0.750 0.250 0.250 1
Tl4 Tl 0.750 0.750 0.750 1
Ag1 Ag 0.000 0.000 0.500 1
Ag2 Ag 0.000 0.500 0.000 1
Ag3 Ag 0.250 0.250 0.250 1
Ag4 Ag 0.250 0.750 0.750 1
Ag5 Ag 0.500 0.000 0.000 1
Ag6 Ag 0.500 0.500 0.500 1
Ag7 Ag 0.750 0.250 0.750 1
Ag8 Ag 0.750 0.750 0.250 1
# Calculated volume = 19.1 Å³ per atom
# Final energy = -4.37 eV/atom


Entry 5:
# TaTl2Ag | the Open Quantum Materials Database | PBE | optimized geometry
data_TaTl2Ag
_symmetry_space_group_name_H-M 'P 1'
_symmetry_Int_Tables_number 1
_cell_length_a 7.081
_cell_length_b 7.081
_cell_length_c 7.081
_cell_angle_alpha 90.00
_cell_angle_beta 90.00
_cell_angle_gamma 90.00
loop_
_symmetry_equiv_pos_as_xyz
'x,y,z'
loop_
_atom_site_label
_atom_site_type_symbol
_atom_site_fract_x
_atom_site_fract_y
_atom_site_fract_z
_atom_site_occupancy
Ta1 Ta 0.000 0.000 0.000 1
Ta2 Ta 0.000 0.500 0.500 1
Ta3 Ta 0.500 0.000 0.500 1
Ta4 Ta 0.500 0.500 0.000 1
Tl1 Tl 0.000 0.000 0.500 1
Tl2 Tl 0.000 0.500 0.000 1
Tl3 Tl 0.250 0.250 0.750 1
Tl4 Tl 0.250 0.750 0.250 1
Tl5 Tl 0.500 0.000 0.000 1
Tl6 Tl 0.500 0.500 0.500 1
Tl7 Tl 0.750 0.250 0.250 1
Tl8 Tl 0.750 0.750 0.750 1
Ag1 Ag 0.250 0.250 0.250 1
Ag2 Ag 0.250 0.750 0.750 1
Ag3 Ag 0.750 0.250 0.750 1
Ag4 Ag 0.750 0.750 0.250 1
# Calculated volume = 22.2 Å³ per atom
# Final energy = -3.97 eV/atom


Entry 6:
# TaAgW | the Open Quantum Materials Database | PBE | optimized geometry
data_TaAgW
_symmetry_space_group_name_H-M 'P 1'
_symmetry_Int_Tables_number 1
_cell_length_a 4.896
_cell_length_b 4.896
_cell_length_c 2.664
_cell_angle_alpha 90.00
_cell_angle_beta 90.00
_cell_angle_gamma 120.00
loop_
_symmetry_equiv_pos_as_xyz
'x,y,z'
loop_
_atom_site_label
_atom_site_type_symbol
_atom_site_fract_x
_atom_site_fract_y
_atom_site_fract_z
_atom_site_occupancy
Ta1 Ta 0.000 0.000 0.000 1
Ag1 Ag 0.667 0.333 0.000 1
W1 W 0.333 0.667 0.000 1
# Energy of formation from the pure elements = 283 kJ/mol of formula units
# Calculated volume = 18.4 Å³ per atom
# Final energy = -8.23 eV/atom


Entry 7:
# TaAgW | the Open Quantum Materials Database | PBE | optimized geometry
data_TaAgW
_symmetry_space_group_name_H-M 'P 1'
_symmetry_Int_Tables_number 1
_cell_length_a 6.283
_cell_length_b 6.283
_cell_length_c 6.283
_cell_angle_alpha 90.00
_cell_angle_beta 90.00
_cell_angle_gamma 90.00
loop_
_symmetry_equiv_pos_as_xyz
'x,y,z'
loop_
_atom_site_label
_atom_site_type_symbol
_atom_site_fract_x
_atom_site_fract_y
_atom_site_fract_z
_atom_site_occupancy
Ta1 Ta 0.000 0.000 0.000 1
Ta2 Ta 0.000 0.500 0.500 1
Ta3 Ta 0.500 0.000 0.500 1
Ta4 Ta 0.500 0.500 0.000 1
Ag1 Ag 0.000 0.000 0.500 1
Ag2 Ag 0.000 0.500 0.000 1
Ag3 Ag 0.500 0.000 0.000 1
Ag4 Ag 0.500 0.500 0.500 1
W1 W 0.250 0.250 0.750 1
W2 W 0.250 0.750 0.250 1
W3 W 0.750 0.250 0.250 1
W4 W 0.750 0.750 0.750 1
# Energy of formation from the pure elements = 389 kJ/mol of formula units
# Calculated volume = 20.7 Å³ per atom
# Final energy = -7.87 eV/atom


Entry 8:
# TaZnAg2 | the Open Quantum Materials Database | PBE | optimized geometry
data_TaZnAg2
_symmetry_space_group_name_H-M 'P 1'
_symmetry_Int_Tables_number 1
_cell_length_a 6.449
_cell_length_b 6.449
_cell_length_c 6.449
_cell_angle_alpha 90.00
_cell_angle_beta 90.00
_cell_angle_gamma 90.00
loop_
_symmetry_equiv_pos_as_xyz
'x,y,z'
loop_
_atom_site_label
_atom_site_type_symbol
_atom_site_fract_x
_atom_site_fract_y
_atom_site_fract_z
_atom_site_occupancy
Ta1 Ta 0.000 0.000 0.000 1
Ta2 Ta 0.000 0.500 0.500 1
Ta3 Ta 0.500 0.000 0.500 1
Ta4 Ta 0.500 0.500 0.000 1
Zn1 Zn 0.250 0.250 0.750 1
Zn2 Zn 0.250 0.750 0.250 1
Zn3 Zn 0.750 0.250 0.250 1
Zn4 Zn 0.750 0.750 0.750 1
Ag1 Ag 0.000 0.000 0.500 1
Ag2 Ag 0.000 0.500 0.000 1
Ag3 Ag 0.250 0.250 0.250 1
Ag4 Ag 0.250 0.750 0.750 1
Ag5 Ag 0.500 0.000 0.000 1
Ag6 Ag 0.500 0.500 0.500 1
Ag7 Ag 0.750 0.250 0.750 1
Ag8 Ag 0.750 0.750 0.250 1
# Energy of formation from the pure elements = 138 kJ/mol of formula units
# Calculated volume = 16.8 Å³ per atom
# Final energy = -4.33 eV/atom